## UGa2NiO8 (PBE with a Hubbard U)

Data for a relaxed structure of UGa2NiO8.

As for the calculated volume: 277.0 Å³ per cell. The calculation puts the magnetic moment at 2.01 μB/f.u. The value obtained for the energy is -6.75 eV/atom.

The structure belongs to space group Cmmm (No. 65); the cell edges are 6.7529, 6.7663 and 6.0622 Å and the angles 90.00°, 90.00° and 90.00°. The inequivalent atoms are U at (0.0000, 0.0000, 0.0000), Ga at (0.0000, 0.5000, 0.2607), Ni at (0.0000, 0.0000, 0.5000), O at (0.0000, 0.3066, 0.5000), O at (0.0000, 0.3149, 0.0000) and O at (0.1930, 0.0000, 0.2632).